1.
The following is a DFT calculation (PBE) of a geometry-optimized NbCdSi2 structure.

## Properties
E_tot: -19.4 eV for the cell shown
Magnetic moment: 0.0 μB per cell
SG: F-43m (216)

Lattice parameters (Å, degrees): 4.6065 4.6065 4.6065 60.00 60.00 60.00
Closest atoms and distances in Å follow each position.
Atoms (fractional coordinates):
Si (0.5000, 0.5000, 0.5000)  4 Si 2.82, 4 Nb 2.82
Nb (0.2500, 0.2500, 0.2500)  4 Cd 2.82, 4 Si 2.82
Si (0.7500, 0.7500, 0.7500)  4 Si 2.82, 4 Cd 2.82
Cd (0.0000, 0.0000, 0.0000)  4 Nb 2.82, 4 Si 2.82

2.
The following is a DFT calculation (PBE) of a geometry-optimized SrTmB4 structure.

## Properties
ΔE to the lowest computed polymorph: 0.00 eV/f.u.
Magnetic moment: 0.0 μB per cell
SG: P6/mmm (191)

Lattice parameters (Å, degrees): 3.2953 3.2953 8.1363 90.00 90.00 120.00
Closest atoms and distances in Å follow each position.
Atoms (fractional coordinates):
B (0.3333, 0.6667, 0.7258)  3 B 1.90
Sr (0.0000, 0.0000, 0.0000)  12 B 2.93
B (0.6667, 0.3333, 0.2742)  3 B 1.90
Tm (0.0000, 0.0000, 0.5000)  12 B 2.64
B (0.3333, 0.6667, 0.2742)  3 B 1.90
B (0.6667, 0.3333, 0.7258)  3 B 1.90

3.
The following is a DFT calculation (PBE) of a geometry-optimized SrNpPa structure.

## Properties
E_tot: -19.5 eV for the cell shown
Magnetic moment: 6.4 μB per cell
SG: F-43m (216)

Lattice parameters (Å, degrees): 5.1315 5.1315 5.1315 60.00 60.00 60.00
Closest atoms and distances in Å follow each position.
Atoms (fractional coordinates):
Np (0.0000, 0.0000, 0.0000)  4 Sr 3.14, 4 Pa 3.14
Pa (0.2500, 0.2500, 0.2500)  4 Np 3.14
Sr (0.7500, 0.7500, 0.7500)  4 Np 3.14

4.
The following is a DFT calculation (PBE) of a geometry-optimized LuSbPO structure.

## Properties
ΔE to the lowest computed polymorph: 0.04 eV/f.u.
Magnetic moment: 0.0 μB per cell
SG: Pmc2_1 (26)

Lattice parameters (Å, degrees): 4.8539 6.7345 6.3785 90.00 90.00 90.00
Closest atoms and distances in Å follow each position.
Atoms (fractional coordinates):
Sb (0.5000, 0.7123, 0.5517)  2 P 2.48-2.52
O (0.0000, 0.0540, 0.7763)  2 Lu 2.00
Lu (0.0000, 0.8343, 0.9862)  2 O 2.00
P (0.5000, 0.6409, 0.9398)  2 Sb 2.48-2.52, 2 Lu 2.77
Sb (0.5000, 0.2877, 0.0517)  2 P 2.48-2.52
Lu (0.0000, 0.1657, 0.4862)  2 O 2.00
O (0.0000, 0.9460, 0.2763)  2 Lu 2.00
P (0.5000, 0.3591, 0.4398)  2 Sb 2.48-2.52, 2 Lu 2.77

5.
The following is a DFT calculation (PBE) of a geometry-optimized ScAlAu structure.

## Properties
E_tot: -13.6 eV for the cell shown
Magnetic moment: 0.0 μB per cell
SG: F-43m (216)

Lattice parameters (Å, degrees): 4.5443 4.5443 4.5443 60.00 60.00 60.00
Closest atoms and distances in Å follow each position.
Atoms (fractional coordinates):
Au (0.7500, 0.7500, 0.7500)  4 Sc 2.78
Al (0.2500, 0.2500, 0.2500)  4 Sc 2.78
Sc (0.0000, 0.0000, 0.0000)  4 Al 2.78, 4 Au 2.78

6.
The following is a DFT calculation (PBE) of a geometry-optimized PmSCl structure.

## Properties
E_tot: -69.0 eV for the cell shown
Magnetic moment: 0.0 μB per cell
SG: Fdd2 (43)

Lattice parameters (Å, degrees): 7.9906 7.0180 8.6989 59.99 49.51 70.50
Closest atoms and distances in Å follow each position.
Atoms (fractional coordinates):
S (0.5956, 0.8998, 0.1464)  4 Pm 2.77-2.84
Cl (0.9472, 0.3986, 0.7762)  3 Pm 2.85-2.98
S (0.8998, 0.5956, 0.3582)  4 Pm 2.77-2.84
Pm (0.5462, 0.8903, 0.4963)  4 S 2.77-2.84, 3 Cl 2.85-2.98
Cl (0.4738, 0.3720, 0.3028)  3 Pm 2.85-2.98
S (0.8918, 0.1036, 0.3502)  4 Pm 2.77-2.84
Cl (0.3720, 0.4738, 0.8514)  3 Pm 2.85-2.98
Cl (0.3986, 0.9472, 0.8780)  3 Pm 2.85-2.98
Pm (0.7537, 0.1828, 0.7038)  4 S 2.77-2.84, 3 Cl 2.85-2.98
S (0.1036, 0.8918, 0.6544)  4 Pm 2.77-2.84
Pm (0.8903, 0.5462, 0.0672)  4 S 2.77-2.84, 3 Cl 2.85-2.98
Pm (0.1828, 0.7537, 0.3597)  4 S 2.77-2.84, 3 Cl 2.85-2.98